# 1
VASP calculation (PBEsol) on crystalline FeNi2 at its relaxed geometry.

```
data_FeNi2
_space_group_name_H-M_alt 'P 1'
_space_group_IT_number 1
_cell_length_a 2.692
_cell_length_b 3.781
_cell_length_c 3.781
_cell_angle_alpha 90.00
_cell_angle_beta 90.00
_cell_angle_gamma 90.00
loop_
_space_group_symop_operation_xyz
'x,y,z'
loop_
_atom_site_label
_atom_site_fract_x
_atom_site_fract_y
_atom_site_fract_z
Ni1 0.500 0.000 0.500
Ni2 0.500 0.500 0.000
Fe1 0.000 0.000 0.000
```

Properties
* formation energy: 0.529 eV/atom
* density of states at the Fermi level: 0.463 states/eV per atom
* volume: 12.8 Å³ per atom

# 2
VASP calculation (PBEsol) on crystalline CdRu2Se at its relaxed geometry.

```
data_CdRu2Se
_space_group_name_H-M_alt 'P 1'
_space_group_IT_number 1
_cell_length_a 2.997
_cell_length_b 2.997
_cell_length_c 6.727
_cell_angle_alpha 90.00
_cell_angle_beta 90.00
_cell_angle_gamma 90.00
loop_
_space_group_symop_operation_xyz
'x,y,z'
loop_
_atom_site_label
_atom_site_fract_x
_atom_site_fract_y
_atom_site_fract_z
Ru1 0.000 0.000 0.214
Ru2 0.000 0.000 0.786
Se1 0.500 0.500 0.000
Cd1 0.500 0.500 0.500
```

Properties
* energy above the most stable polymorph in this dataset: 20 kJ/mol of formula units
* energy relative to the elements, uncorrected: 0.23 eV/atom
* density of states at the Fermi level: 0.543 states/eV per atom
* volume: 15.1 Å³ per atom